No. 1
Entry from the Alexandria database: CuPbBr after structural relaxation (GGA-PBE).

Properties
Crystal system: cubic
Energy above the most stable polymorph in this dataset, eV/atom: 0.287

Geometry as CIF:
```
data_CuPbBr
_space_group_name_H-M_alt 'F -4 3 m'
_space_group_IT_number 216
_space_group_name_Hall 'F -4 2 3'
_cell_length_a 6.882
_cell_length_b 6.882
_cell_length_c 6.882
_cell_angle_alpha 90.00
_cell_angle_beta 90.00
_cell_angle_gamma 90.00
loop_
_atom_site_label
_atom_site_fract_x
_atom_site_fract_y
_atom_site_fract_z
Cu1 0.000 0.000 0.000
Pb1 0.250 0.250 0.250
Br1 0.250 0.250 0.750
```

No. 2
Entry from the Alexandria database: Ho3Cl7O after structural relaxation (GGA-PBE).

Properties
Crystal system: trigonal
Electronic total energy, eV/atom: -5.334

Geometry as CIF:
```
data_Ho3Cl7O
_space_group_name_H-M_alt 'P 3 m 1'
_space_group_IT_number 156
_cell_length_a 7.6623
_cell_length_b 7.6623
_cell_length_c 6.5591
_cell_angle_alpha 90.00
_cell_angle_beta 90.00
_cell_angle_gamma 120.00
loop_
_space_group_symop_operation_xyz
'x,y,z'
'-y,x-y,z'
'-x+y,-x,z'
'-y,-x,z'
'-x+y,y,z'
'x,x-y,z'
loop_
_atom_site_label
_atom_site_fract_x
_atom_site_fract_y
_atom_site_fract_z
Ho1 0.0243 0.5122 0.0000
Cl1 0.1670 0.3340 0.7613
Cl2 0.3448 0.1724 0.2142
Cl3 0.6667 0.3333 0.7707
O1 0.3333 0.6667 0.1036
```

No. 3
Entry from the Alexandria database: Ba2Sn2Au after structural relaxation (GGA-PBE).

Properties
Crystal system: tetragonal
Energy above the most stable polymorph in this dataset, eV/atom: 0.281
Energy of formation, eV/f.u.: -2.0

Geometry as CIF:
```
data_Ba2Sn2Au
_space_group_name_H-M_alt 'P 4/m b m'
_space_group_IT_number 127
_space_group_name_Hall '-P 4 2ab'
_cell_length_a 9.204
_cell_length_b 9.204
_cell_length_c 4.970
_cell_angle_alpha 90.00
_cell_angle_beta 90.00
_cell_angle_gamma 90.00
loop_
_atom_site_label
_atom_site_fract_x
_atom_site_fract_y
_atom_site_fract_z
Ba1 0.189 0.311 0.000
Sn1 0.104 0.604 0.500
Au1 0.000 0.000 0.000
```

No. 4
Entry from the Alexandria database: K2TaSi after structural relaxation (GGA-PBE).

Properties
Crystal system: orthorhombic
Electronic total energy, eV/atom: -4.258

Geometry as CIF:
```
data_K2TaSi
_space_group_name_H-M_alt 'C m m 2'
_space_group_IT_number 35
_cell_length_a 4.045
_cell_length_b 4.617
_cell_length_c 11.765
_cell_angle_alpha 90.00
_cell_angle_beta 90.00
_cell_angle_gamma 90.00
loop_
_space_group_symop_operation_xyz
'x,y,z'
'-x,-y,z'
'-x,y,z'
'x,-y,z'
'x+1/2,y+1/2,z'
'-x+1/2,-y+1/2,z'
'-x+1/2,y+1/2,z'
'x+1/2,-y+1/2,z'
loop_
_atom_site_label
_atom_site_fract_x
_atom_site_fract_y
_atom_site_fract_z
K1 0.000 0.000 0.000
K2 0.000 0.500 0.369
Ta1 0.000 0.500 0.734
Si1 0.000 0.000 0.584
```

No. 5
Entry from the Alexandria database: Zr4GaHg3 after structural relaxation (GGA-PBE).

Properties
Crystal system: tetragonal
Energy of formation, eV/f.u.: -2.2

Geometry as CIF:
```
data_Zr4GaHg3
_space_group_name_H-M_alt 'P 4/m m m'
_space_group_IT_number 123
_space_group_name_Hall '-P 4 2'
_cell_length_a 3.151
_cell_length_b 3.151
_cell_length_c 16.830
_cell_angle_alpha 90.00
_cell_angle_beta 90.00
_cell_angle_gamma 90.00
loop_
_atom_site_label
_atom_site_fract_x
_atom_site_fract_y
_atom_site_fract_z
Zr1 0.000 0.000 0.114
Zr2 0.000 0.000 0.372
Ga1 0.500 0.500 0.000
Hg1 0.500 0.500 0.245
Hg2 0.500 0.500 0.500
```

No. 6
Entry from the Alexandria database: LaScSi after structural relaxation (GGA-PBE).

Properties
Crystal system: tetragonal
Energy above the most stable polymorph in this dataset, eV/atom: 0.014

Geometry as CIF:
```
data_LaScSi
_space_group_name_H-M_alt 'P 4/n m m'
_space_group_IT_number 129
_cell_length_a 4.363
_cell_length_b 4.363
_cell_length_c 7.950
_cell_angle_alpha 90.00
_cell_angle_beta 90.00
_cell_angle_gamma 90.00
loop_
_space_group_symop_operation_xyz
'x,y,z'
'-x,-y,-z'
'-y+1/2,x,z'
'y+1/2,-x,-z'
'-x+1/2,-y+1/2,z'
'x+1/2,y+1/2,-z'
'y,-x+1/2,z'
'-y,x+1/2,-z'
'x+1/2,-y,-z'
'-x+1/2,y,z'
'-y,-x,-z'
'y,x,z'
'-x,y+1/2,-z'
'x,-y+1/2,z'
'y+1/2,x+1/2,-z'
'-y+1/2,-x+1/2,z'
loop_
_atom_site_label
_atom_site_fract_x
_atom_site_fract_y
_atom_site_fract_z
La1 0.250 0.250 0.145
Sc1 0.250 0.750 0.500
Si1 0.250 0.250 0.729
```

No. 7
Entry from the Alexandria database: HfAl2Co2 after structural relaxation (GGA-PBE).

Properties
Crystal system: tetragonal
Energy above the most stable polymorph in this dataset, eV/atom: 0.066
Energy of formation, eV/f.u.: -1.7

Geometry as CIF:
```
data_HfAl2Co2
_space_group_name_H-M_alt 'I 4/m m m'
_space_group_IT_number 139
_space_group_name_Hall '-I 4 2'
_cell_length_a 3.654
_cell_length_b 3.654
_cell_length_c 11.001
_cell_angle_alpha 90.00
_cell_angle_beta 90.00
_cell_angle_gamma 90.00
loop_
_atom_site_label
_atom_site_fract_x
_atom_site_fract_y
_atom_site_fract_z
Hf1 0.000 0.000 0.000
Al1 0.000 0.500 0.250
Co1 0.000 0.000 0.398
```

No. 8
Entry from the Alexandria database: Ag6IBr2O after structural relaxation (GGA-PBE).

Properties
Crystal system: monoclinic
Electronic total energy, eV/atom: -2.770

Geometry as CIF:
```
data_Ag6IBr2O
_space_group_name_H-M_alt 'P 1 21/c 1'
_space_group_IT_number 14
_cell_length_a 6.970
_cell_length_b 5.778
_cell_length_c 14.986
_cell_angle_alpha 90.00
_cell_angle_beta 117.52
_cell_angle_gamma 90.00
loop_
_space_group_symop_operation_xyz
'x,y,z'
'-x,-y,-z'
'-x,y+1/2,-z+1/2'
'x,-y+1/2,z+1/2'
loop_
_atom_site_label
_atom_site_fract_x
_atom_site_fract_y
_atom_site_fract_z
Ag1 0.081 0.147 0.085
Ag2 0.117 0.210 0.401
Ag3 0.313 0.714 0.101
I1 0.500 0.000 0.000
Br1 0.282 0.036 0.280
O1 0.000 0.000 0.500
```

No. 9
Entry from the Alexandria database: Re2TeRuC after structural relaxation (GGA-PBE).

Properties
Crystal system: tetragonal
Energy above the most stable polymorph in this dataset, eV/atom: 2.077

Geometry as CIF:
```
data_Re2TeRuC
_space_group_name_H-M_alt 'P 4/m m m'
_space_group_IT_number 123
_space_group_name_Hall '-P 4 2'
_cell_length_a 4.911
_cell_length_b 4.911
_cell_length_c 4.030
_cell_angle_alpha 90.00
_cell_angle_beta 90.00
_cell_angle_gamma 90.00
loop_
_atom_site_label
_atom_site_fract_x
_atom_site_fract_y
_atom_site_fract_z
Re1 0.000 0.500 0.000
Te1 0.000 0.000 0.000
Ru1 0.500 0.500 0.500
C1 0.000 0.000 0.500
```

No. 10
Entry from the Alexandria database: NbCo2SiW after structural relaxation (GGA-PBE).

Properties
Crystal system: tetragonal
Electronic total energy, eV/atom: -6.652

Geometry as CIF:
```
data_NbCo2SiW
_space_group_name_H-M_alt 'P 4/m m m'
_space_group_IT_number 123
_space_group_name_Hall '-P 4 2'
_cell_length_a 4.391
_cell_length_b 4.391
_cell_length_c 4.887
_cell_angle_alpha 90.00
_cell_angle_beta 90.00
_cell_angle_gamma 90.00
loop_
_atom_site_label
_atom_site_fract_x
_atom_site_fract_y
_atom_site_fract_z
Nb1 0.000 0.000 0.000
Co1 0.000 0.500 0.000
Si1 0.500 0.500 0.500
W1 0.000 0.000 0.500
```

No. 11
Entry from the Alexandria database: KMn2Cl after structural relaxation (GGA-PBE).

Properties
Crystal system: tetragonal
Energy above the most stable polymorph in this dataset, eV/atom: 0.558

Geometry as CIF:
```
data_KMn2Cl
_space_group_name_H-M_alt 'P 4/m m m'
_space_group_IT_number 123
_space_group_name_Hall '-P 4 2'
_cell_length_a 3.239
_cell_length_b 3.239
_cell_length_c 9.556
_cell_angle_alpha 90.00
_cell_angle_beta 90.00
_cell_angle_gamma 90.00
loop_
_atom_site_label
_atom_site_fract_x
_atom_site_fract_y
_atom_site_fract_z
K1 0.000 0.000 0.000
Mn1 0.500 0.500 0.304
Cl1 0.000 0.000 0.500
```

No. 12
Entry from the Alexandria database: SmSn2Pd8 after structural relaxation (GGA-PBE).

Properties
Crystal system: monoclinic
Energy of formation, eV/f.u.: -6.1

Geometry as CIF:
```
data_SmSn2Pd8
_space_group_name_H-M_alt 'C 1 2/m 1'
_space_group_IT_number 12
_cell_length_a 14.730
_cell_length_b 4.172
_cell_length_c 6.748
_cell_angle_alpha 90.00
_cell_angle_beta 111.00
_cell_angle_gamma 90.00
loop_
_space_group_symop_operation_xyz
'x,y,z'
'-x,-y,-z'
'-x,y,-z'
'x,-y,z'
'x+1/2,y+1/2,z'
'-x+1/2,-y+1/2,-z'
'-x+1/2,y+1/2,-z'
'x+1/2,-y+1/2,z'
loop_
_atom_site_label
_atom_site_fract_x
_atom_site_fract_y
_atom_site_fract_z
Sm1 0.000 0.000 0.000
Sn1 0.212 0.500 0.668
Pd1 0.037 0.500 0.722
Pd2 0.096 0.000 0.467
Pd3 0.153 0.500 0.225
Pd4 0.179 0.000 0.920
```

No. 13
Entry from the Alexandria database: TbNd3Sc after structural relaxation (GGA-PBE).

Properties
Crystal system: orthorhombic
Energy above the most stable polymorph in this dataset, eV/atom: 0.142
Energy of formation, eV/f.u.: 1.1

Geometry as CIF:
```
data_TbNd3Sc
_space_group_name_H-M_alt 'C m c m'
_space_group_IT_number 63
_space_group_name_Hall '-C 2c 2'
_cell_length_a 5.628
_cell_length_b 11.866
_cell_length_c 10.082
_cell_angle_alpha 90.00
_cell_angle_beta 90.00
_cell_angle_gamma 90.00
loop_
_atom_site_label
_atom_site_fract_x
_atom_site_fract_y
_atom_site_fract_z
Tb1 0.000 0.188 0.250
Nd1 0.000 0.000 0.000
Nd2 0.000 0.307 0.563
Sc1 0.000 0.462 0.250
```

No. 14
Entry from the Alexandria database: AcZnGeI after structural relaxation (GGA-PBE).

Properties
Crystal system: trigonal
Electronic total energy, eV/atom: -3.703

Geometry as CIF:
```
data_AcZnGeI
_space_group_name_H-M_alt 'R -3 m'
_space_group_IT_number 166
_space_group_name_Hall '-R 3 2"'
_cell_length_a 4.4776
_cell_length_b 4.4776
_cell_length_c 45.6797
_cell_angle_alpha 90.00
_cell_angle_beta 90.00
_cell_angle_gamma 120.00
loop_
_atom_site_label
_atom_site_fract_x
_atom_site_fract_y
_atom_site_fract_z
Ac1 0.0000 0.0000 0.0743
Zn1 0.0000 0.0000 0.3111
Ge1 0.0000 0.0000 0.3692
I1 0.0000 0.0000 0.2102
```

No. 15
Entry from the Alexandria database: DyTl3Cr2Se6 after structural relaxation (GGA-PBE).

Properties
Crystal system: monoclinic
Electronic total energy, eV/atom: -5.067

Geometry as CIF:
```
data_DyTl3Cr2Se6
_space_group_name_H-M_alt 'C 1 2/m 1'
_space_group_IT_number 12
_cell_length_a 6.800
_cell_length_b 11.720
_cell_length_c 8.016
_cell_angle_alpha 90.00
_cell_angle_beta 106.50
_cell_angle_gamma 90.00
loop_
_space_group_symop_operation_xyz
'x,y,z'
'-x,-y,-z'
'-x,y,-z'
'x,-y,z'
'x+1/2,y+1/2,z'
'-x+1/2,-y+1/2,-z'
'-x+1/2,y+1/2,-z'
'x+1/2,-y+1/2,z'
loop_
_atom_site_label
_atom_site_fract_x
_atom_site_fract_y
_atom_site_fract_z
Dy1 0.000 0.000 0.000
Tl1 0.000 0.155 0.500
Tl2 0.000 0.500 0.500
Cr1 0.000 0.333 0.000
Se1 0.198 0.500 0.182
Se2 0.246 0.181 0.191
```

| no. | theoretical density (Mg/m³) |
| --- | --- |
| 1 | 7.1 |
| 2 | 3.8 |
| 3 | 5.6 |
| 4 | 4.3 |
| 5 | 10.3 |
| 6 | 4.7 |
| 7 | 7.9 |
| 8 | 5.9 |
| 9 | 10.5 |
| 10 | 7.4 |
| 11 | 3.1 |
| 12 | 10.6 |
| 13 | 6.3 |
| 14 | 6.2 |
| 15 | 7.3 |